No. 1
## AlPRhO2 (GGA-PBE)

Data for an optimized crystal structure of AlPRhO2.

```
data_AlPRhO2
_chemical_formula_sum 'Al1 P1 Rh1 O2'
_cell_length_a 3.7924
_cell_length_b 3.7924
_cell_length_c 5.1380
_cell_angle_alpha 90.00
_cell_angle_beta 90.00
_cell_angle_gamma 90.00
_symmetry_space_group_name_H-M 'P 1'
_symmetry_Int_Tables_number 1
_symmetry_space_group_name_Hall 'P 1'
loop_
_atom_site_label
_atom_site_type_symbol
_atom_site_fract_x
_atom_site_fract_y
_atom_site_fract_z
Al1 Al 0.0000 0.0000 0.0000
P1 P 0.5000 0.5000 0.0000
Rh1 Rh 0.5000 0.5000 0.5000
O1 O 0.0000 0.5000 0.5000
O2 O 0.5000 0.0000 0.5000
```

Calculated total energy: -5.45 eV/atom
Total magnetization: 1.192 μB per cell
Symmetry: No. 123
Crystal system: tetragonal
Raw formation energy: -164.6 meV/atom

=====

No. 2
## Er2AlZn2Pd5 (GGA-PBE)

Data for an optimized crystal structure of Er2AlZn2Pd5.

```
data_Er2AlZn2Pd5
_chemical_formula_sum 'Er4 Al2 Zn4 Pd10'
_cell_length_a 9.7296
_cell_length_b 9.7296
_cell_length_c 3.6594
_cell_angle_alpha 90.00
_cell_angle_beta 90.00
_cell_angle_gamma 90.00
_symmetry_space_group_name_H-M 'P 1'
_symmetry_Int_Tables_number 1
_symmetry_space_group_name_Hall 'P 1'
loop_
_atom_site_label
_atom_site_type_symbol
_atom_site_fract_x
_atom_site_fract_y
_atom_site_fract_z
Er1 Er 0.1741 0.3259 0.0000
Er2 Er 0.3259 0.8259 0.0000
Er3 Er 0.6741 0.1741 0.0000
Er4 Er 0.8259 0.6741 0.0000
Al1 Al 0.0000 0.0000 0.0000
Al2 Al 0.5000 0.5000 0.0000
Zn1 Zn 0.1244 0.6244 0.0000
Zn2 Zn 0.3756 0.1244 0.0000
Zn3 Zn 0.6244 0.8756 0.0000
Zn4 Zn 0.8756 0.3756 0.0000
Pd1 Pd 0.0000 0.5000 0.5000
Pd2 Pd 0.0626 0.8004 0.5000
Pd3 Pd 0.1996 0.0626 0.5000
Pd4 Pd 0.3004 0.5626 0.5000
Pd5 Pd 0.4374 0.3004 0.5000
Pd6 Pd 0.5000 0.0000 0.5000
Pd7 Pd 0.5626 0.6996 0.5000
Pd8 Pd 0.6996 0.4374 0.5000
Pd9 Pd 0.8004 0.9374 0.5000
Pd10 Pd 0.9374 0.1996 0.5000
```

Calculated total energy: -4.88 eV/atom
Energy of formation: -7.5 eV per formula unit
Total magnetization: 0.000 μB per cell
Symmetry: No. 127
Crystal system: tetragonal

=====

No. 3
## PrNd2Er8 (GGA-PBE)

Data for an optimized crystal structure of PrNd2Er8.

```
data_PrNd2Er8
_chemical_formula_sum 'Pr1 Nd2 Er8'
_cell_length_a 8.9107
_cell_length_b 8.9107
_cell_length_c 6.6748
_cell_angle_alpha 99.39
_cell_angle_beta 99.39
_cell_angle_gamma 43.66
_symmetry_space_group_name_H-M 'P 1'
_symmetry_Int_Tables_number 1
_symmetry_space_group_name_Hall 'P 1'
loop_
_atom_site_label
_atom_site_type_symbol
_atom_site_fract_x
_atom_site_fract_y
_atom_site_fract_z
Pr1 Pr 0.0000 0.0000 0.0000
Nd1 Nd 0.2062 0.2062 0.7960
Nd2 Nd 0.7938 0.7938 0.2040
Er1 Er 0.1738 0.6468 0.5863
Er2 Er 0.2433 0.2433 0.3035
Er3 Er 0.3532 0.8262 0.4137
Er4 Er 0.4133 0.4133 0.0971
Er5 Er 0.5867 0.5867 0.9029
Er6 Er 0.6468 0.1738 0.5863
Er7 Er 0.7567 0.7567 0.6965
Er8 Er 0.8262 0.3532 0.4137
```

Calculated total energy: -4.46 eV/atom
Energy of formation: 1.8 eV per formula unit
Total magnetization: 0.000 μB per cell
Symmetry: No. 12
Crystal system: monoclinic

=====

No. 4
## MgTcRu2 (GGA-PBE)

Data for an optimized crystal structure of MgTcRu2.

```
data_MgTcRu2
_chemical_formula_sum 'Mg2 Tc2 Ru4'
_cell_length_a 3.7309
_cell_length_b 3.7309
_cell_length_c 8.4126
_cell_angle_alpha 90.00
_cell_angle_beta 90.00
_cell_angle_gamma 90.00
_symmetry_space_group_name_H-M 'P 1'
_symmetry_Int_Tables_number 1
_symmetry_space_group_name_Hall 'P 1'
loop_
_atom_site_label
_atom_site_type_symbol
_atom_site_fract_x
_atom_site_fract_y
_atom_site_fract_z
Mg1 Mg 0.0000 0.0000 0.0000
Mg2 Mg 0.5000 0.5000 0.5000
Tc1 Tc 0.0000 0.5000 0.2500
Tc2 Tc 0.5000 0.0000 0.7500
Ru1 Ru 0.0000 0.0000 0.5000
Ru2 Ru 0.0000 0.5000 0.7500
Ru3 Ru 0.5000 0.0000 0.2500
Ru4 Ru 0.5000 0.5000 0.0000
```

Calculated total energy: -7.43 eV/atom
Energy of formation: 0.8 eV per formula unit
Total magnetization: 0.004 μB per cell
Symmetry: No. 119
Crystal system: tetragonal

=====

No. 5
## Nd12Ho5Pu (GGA-PBE)

Data for an optimized crystal structure of Nd12Ho5Pu.

```
data_Nd12Ho5Pu
_chemical_formula_sum 'Nd12 Ho5 Pu1'
_cell_length_a 10.6208
_cell_length_b 10.6208
_cell_length_c 5.9902
_cell_angle_alpha 90.03
_cell_angle_beta 90.03
_cell_angle_gamma 116.12
_symmetry_space_group_name_H-M 'P 1'
_symmetry_Int_Tables_number 1
_symmetry_space_group_name_Hall 'P 1'
loop_
_atom_site_label
_atom_site_type_symbol
_atom_site_fract_x
_atom_site_fract_y
_atom_site_fract_z
Nd1 Nd 0.0061 0.6745 0.9977
Nd2 Nd 0.1571 0.1571 0.4971
Nd3 Nd 0.1718 0.5055 0.5020
Nd4 Nd 0.3255 0.9939 0.0023
Nd5 Nd 0.3366 0.3366 0.9970
Nd6 Nd 0.4945 0.8282 0.4980
Nd7 Nd 0.5055 0.1718 0.5020
Nd8 Nd 0.6634 0.6634 0.0030
Nd9 Nd 0.6745 0.0061 0.9977
Nd10 Nd 0.8282 0.4945 0.4980
Nd11 Nd 0.8429 0.8429 0.5029
Nd12 Nd 0.9939 0.3255 0.0023
Ho1 Ho 0.1676 0.8324 0.5000
Ho2 Ho 0.3341 0.6659 0.0000
Ho3 Ho 0.5000 0.5000 0.5000
Ho4 Ho 0.6659 0.3341 0.0000
Ho5 Ho 0.8324 0.1676 0.5000
Pu1 Pu 0.0000 0.0000 0.0000
```

Calculated total energy: -5.12 eV/atom
Energy of formation: 2.2 eV per formula unit
Total magnetization: 6.255 μB per cell
Symmetry: No. 12
Crystal system: monoclinic

=====

No. 6
## CsLiTl2F8 (GGA-PBE)

Data for an optimized crystal structure of CsLiTl2F8.

```
data_CsLiTl2F8
_chemical_formula_sum 'Cs1 Li1 Tl2 F8'
_cell_length_a 5.4833
_cell_length_b 5.5253
_cell_length_c 7.3309
_cell_angle_alpha 88.08
_cell_angle_beta 88.06
_cell_angle_gamma 82.68
_symmetry_space_group_name_H-M 'P 1'
_symmetry_Int_Tables_number 1
_symmetry_space_group_name_Hall 'P 1'
loop_
_atom_site_label
_atom_site_type_symbol
_atom_site_fract_x
_atom_site_fract_y
_atom_site_fract_z
Cs1 Cs 0.0000 0.0000 0.0000
Li1 Li 0.0000 0.0000 0.5000
Tl1 Tl 0.4995 0.4989 0.7336
Tl2 Tl 0.5005 0.5011 0.2664
F1 F 0.1836 0.7565 0.6942
F2 F 0.1962 0.7722 0.3098
F3 F 0.3361 0.2990 0.5058
F4 F 0.3838 0.3140 0.0082
F5 F 0.6162 0.6860 0.9918
F6 F 0.6639 0.7010 0.4942
F7 F 0.8038 0.2278 0.6902
F8 F 0.8164 0.2435 0.3058
```

Calculated total energy: -3.99 eV/atom
Total magnetization: 0.000 μB per cell
Symmetry: No. 2
Crystal system: triclinic
Raw formation energy: -2113.6 meV/atom

=====

No. 7
## Pa6Se5S (GGA-PBE)

Data for an optimized crystal structure of Pa6Se5S.

```
data_Pa6Se5S
_chemical_formula_sum 'Pa6 Se5 S1'
_cell_length_a 7.1239
_cell_length_b 7.1239
_cell_length_c 6.6769
_cell_angle_alpha 100.11
_cell_angle_beta 100.11
_cell_angle_gamma 118.73
_symmetry_space_group_name_H-M 'P 1'
_symmetry_Int_Tables_number 1
_symmetry_space_group_name_Hall 'P 1'
loop_
_atom_site_label
_atom_site_type_symbol
_atom_site_fract_x
_atom_site_fract_y
_atom_site_fract_z
Pa1 Pa 0.0773 0.3968 0.7360
Pa2 Pa 0.2334 0.2334 0.2522
Pa3 Pa 0.3968 0.0773 0.7360
Pa4 Pa 0.6032 0.9227 0.2640
Pa5 Pa 0.7666 0.7666 0.7478
Pa6 Pa 0.9227 0.6032 0.2640
Se1 Se 0.1761 0.8239 0.0000
Se2 Se 0.3368 0.6632 0.5000
Se3 Se 0.5000 0.5000 0.0000
Se4 Se 0.6632 0.3368 0.5000
Se5 Se 0.8239 0.1761 0.0000
S1 S 0.0000 0.0000 0.5000
```

Calculated total energy: -7.81 eV/atom
Total magnetization: 0.050 μB per cell
Symmetry: No. 12
Crystal system: monoclinic
Raw formation energy: -1271.1 meV/atom

=====

No. 8
## HfMgBi2 (GGA-PBE)

Data for an optimized crystal structure of HfMgBi2.

```
data_HfMgBi2
_chemical_formula_sum 'Hf4 Mg4 Bi8'
_cell_length_a 6.7519
_cell_length_b 6.7519
_cell_length_c 13.2666
_cell_angle_alpha 90.00
_cell_angle_beta 90.00
_cell_angle_gamma 90.00
_symmetry_space_group_name_H-M 'P 1'
_symmetry_Int_Tables_number 1
_symmetry_space_group_name_Hall 'P 1'
loop_
_atom_site_label
_atom_site_type_symbol
_atom_site_fract_x
_atom_site_fract_y
_atom_site_fract_z
Hf1 Hf 0.0000 0.0000 0.0000
Hf2 Hf 0.0000 0.5000 0.2500
Hf3 Hf 0.5000 0.0000 0.7500
Hf4 Hf 0.5000 0.5000 0.5000
Mg1 Mg 0.0000 0.0000 0.5000
Mg2 Mg 0.0000 0.5000 0.7500
Mg3 Mg 0.5000 0.0000 0.2500
Mg4 Mg 0.5000 0.5000 0.0000
Bi1 Bi 0.2401 0.2500 0.1250
Bi2 Bi 0.2500 0.7401 0.3750
Bi3 Bi 0.2500 0.7599 0.8750
Bi4 Bi 0.2599 0.2500 0.6250
Bi5 Bi 0.7401 0.7500 0.6250
Bi6 Bi 0.7500 0.2401 0.8750
Bi7 Bi 0.7500 0.2599 0.3750
Bi8 Bi 0.7599 0.7500 0.1250
```

Calculated total energy: -4.65 eV/atom
Energy of formation: 0.7 eV per formula unit
Total magnetization: 0.000 μB per cell
Symmetry: No. 122
Crystal system: tetragonal

=====

No. 9
## NaCdBi3 (GGA-PBE)

Data for an optimized crystal structure of NaCdBi3.

```
data_NaCdBi3
_chemical_formula_sum 'Na2 Cd2 Bi6'
_cell_length_a 6.8256
_cell_length_b 6.8603
_cell_length_c 7.1361
_cell_angle_alpha 90.00
_cell_angle_beta 89.97
_cell_angle_gamma 89.96
_symmetry_space_group_name_H-M 'P 1'
_symmetry_Int_Tables_number 1
_symmetry_space_group_name_Hall 'P 1'
loop_
_atom_site_label
_atom_site_type_symbol
_atom_site_fract_x
_atom_site_fract_y
_atom_site_fract_z
Na1 Na 0.0000 0.0000 0.0000
Na2 Na 0.4991 0.5000 0.4818
Cd1 Cd 0.4993 0.1556 0.1039
Cd2 Cd 0.9992 0.6556 0.3777
Bi1 Bi 0.9999 0.3576 0.6788
Bi2 Bi 0.2477 0.0311 0.4487
Bi3 Bi 0.2516 0.5316 0.0329
Bi4 Bi 0.5001 0.8576 0.8028
Bi5 Bi 0.7476 0.5312 0.0332
Bi6 Bi 0.7516 0.0319 0.4485
```

Calculated total energy: -2.85 eV/atom
Energy of formation: -0.4 eV per formula unit
Total magnetization: 0.000 μB per cell
Symmetry: No. 1
Crystal system: triclinic

=====

No. 10
## La3GeP (GGA-PBE)

Data for an optimized crystal structure of La3GeP.

```
data_La3GeP
_chemical_formula_sum 'La6 Ge2 P2'
_cell_length_a 4.4117
_cell_length_b 6.9991
_cell_length_c 9.5812
_cell_angle_alpha 90.00
_cell_angle_beta 90.00
_cell_angle_gamma 90.00
_symmetry_space_group_name_H-M 'P 1'
_symmetry_Int_Tables_number 1
_symmetry_space_group_name_Hall 'P 1'
loop_
_atom_site_label
_atom_site_type_symbol
_atom_site_fract_x
_atom_site_fract_y
_atom_site_fract_z
La1 La 0.2500 0.0218 0.1635
La2 La 0.2500 0.2500 0.5705
La3 La 0.2500 0.4782 0.1635
La4 La 0.7500 0.5218 0.8365
La5 La 0.7500 0.7500 0.4295
La6 La 0.7500 0.9782 0.8365
Ge1 Ge 0.2500 0.7500 0.6462
Ge2 Ge 0.7500 0.2500 0.3538
P1 P 0.2500 0.2500 0.8919
P2 P 0.7500 0.7500 0.1081
```

Calculated total energy: -5.93 eV/atom
Energy of formation: -4.9 eV per formula unit
Total magnetization: 0.559 μB per cell
Symmetry: No. 59
Crystal system: orthorhombic